Material: Li2LaGeN
Method: DFT, PBE
State: optimized geometry

Properties
For the total energy, the calculation gives -4.97 eV per atom. The value obtained for the total magnetization is 0.0 Bohr magnetons per cell.

abc: 7.2728 7.2728 7.0839
angles: 90.00 90.00 152.13
Last column: nearest neighbours and their distance in Å.
Fractional positions:
Li 0.1379 0.8621 0.5621  1 N 2.00
Li 0.1379 0.8621 0.9379  1 N 2.00
Li 0.8621 0.1379 0.0621  1 N 2.00
Li 0.8621 0.1379 0.4379  1 N 2.00
La 0.4602 0.5398 0.7500  4 N 2.55
La 0.5398 0.4602 0.2500  4 N 2.55
Ge 0.2500 0.7500 0.2500  6 Li 2.71-2.72
Ge 0.7500 0.2500 0.7500  6 Li 2.71-2.72
N 0.0000 0.0000 0.0000  2 Li 2.00
N 0.0000 0.0000 0.5000  2 Li 2.00